1.
First-principles (PBE) data for crystalline CrTcPdBr2 at its relaxed geometry, as listed in Alexandria.

```
CrTcPdBr2
1.0
4.8947 0.0000 0.0000
0.0000 4.8947 0.0000
0.0000 0.0000 4.5731
Cr Tc Pd Br
1 1 1 2
direct
0.0000 0.0000 0.0000 Cr
0.0000 0.0000 0.5000 Tc
0.5000 0.5000 0.5000 Pd
0.0000 0.5000 0.0000 Br
0.5000 0.0000 0.0000 Br
```

Output
* raw total energy: -4.693 eV per atom
* formation energy from raw total energies: 1.012 eV/atom

=====

2.
First-principles (PBE) data for crystalline Ca3In3NiHg2 at its relaxed geometry, as listed in Alexandria.

```
Ca3In3NiHg2
1.0
8.1300 0.0000 0.0000
-4.0650 7.0407 0.0000
0.0000 0.0000 3.8486
Ca In Ni Hg
3 3 1 2
direct
0.0000 0.6029 0.0000 Ca
0.3971 0.3971 0.0000 Ca
0.6029 0.0000 0.0000 Ca
0.0000 0.2392 0.5000 In
0.2392 0.0000 0.5000 In
0.7608 0.7608 0.5000 In
0.0000 0.0000 0.0000 Ni
0.3333 0.6667 0.5000 Hg
0.6667 0.3333 0.5000 Hg
```

Output
* raw total energy: -2.730 eV per atom
* energy of formation: -440 meV per atom

=====

3.
First-principles (PBE) data for crystalline YEr4ScS8 at its relaxed geometry, as listed in Alexandria.

```
YEr4ScS8
1.0
3.9619 2.2874 6.4821
-3.9619 2.2874 6.4821
0.0000 -4.5748 6.4821
Y Er Sc S
1 4 1 8
direct
0.0000 0.0000 0.0000 Y
0.0004 0.0004 0.5121 Er
0.0004 0.5121 0.0004 Er
0.3781 0.3781 0.3781 Er
0.5121 0.0004 0.0004 Er
0.6286 0.6286 0.6286 Sc
0.2444 0.7543 0.7543 S
0.2446 0.2446 0.2446 S
0.2465 0.2465 0.7777 S
0.2465 0.7777 0.2465 S
0.7543 0.2444 0.7543 S
0.7543 0.7543 0.2444 S
0.7571 0.7571 0.7571 S
0.7777 0.2465 0.2465 S
```

Output
* raw total energy: -6.496 eV per atom
* formation energy from raw total energies: -1.920 eV/atom

=====

4.
First-principles (PBE) data for crystalline CaNd7Tl4 at its relaxed geometry, as listed in Alexandria.

```
CaNd7Tl4
1.0
7.4008 -2.9670 0.0000
7.4008 2.9670 0.0000
-5.9298 0.0000 9.0077
Ca Nd Tl
1 7 4
direct
0.0000 0.0000 0.0000 Ca
0.0605 0.0605 0.3935 Nd
0.2068 0.2068 0.8798 Nd
0.2792 0.2792 0.3463 Nd
0.5000 0.5000 0.0000 Nd
0.7208 0.7208 0.6537 Nd
0.7932 0.7932 0.1202 Nd
0.9395 0.9395 0.6065 Nd
0.3141 0.3141 0.6692 Tl
0.4391 0.4391 0.2459 Tl
0.5609 0.5609 0.7541 Tl
0.6859 0.6859 0.3308 Tl
```

Output
* raw total energy: -3.800 eV per atom
* energy of formation: -63 meV per atom

=====

5.
First-principles (PBE) data for crystalline RbOsSe2O8 at its relaxed geometry, as listed in Alexandria.

```
RbOsSe2O8
1.0
2.7491 1.5872 7.5176
-2.7491 1.5872 7.5176
0.0000 -3.1744 7.5176
Rb Os Se O
1 1 2 8
direct
0.0000 0.0000 0.0000 Rb
0.5000 0.5000 0.5000 Os
0.2219 0.2219 0.2219 Se
0.7781 0.7781 0.7781 Se
0.1667 0.4498 0.7397 O
0.2603 0.8333 0.5502 O
0.2946 0.2946 0.2946 O
0.4498 0.7397 0.1667 O
0.5502 0.2603 0.8333 O
0.7054 0.7054 0.7054 O
0.7397 0.1667 0.4498 O
0.8333 0.5502 0.2603 O
```

Output
* raw total energy: -5.778 eV per atom
* formation energy from raw total energies: -0.875 eV/atom

=====

6.
First-principles (PBE) data for crystalline KPa2SiS8 at its relaxed geometry, as listed in Alexandria.

```
KPa2SiS8
1.0
5.9231 0.0000 0.0000
0.0000 8.3226 0.0000
-0.8152 0.0000 6.2560
K Pa Si S
1 2 1 8
direct
0.0000 0.0000 0.0000 K
0.5000 0.2541 0.5000 Pa
0.5000 0.7459 0.5000 Pa
0.0000 0.5000 0.0000 Si
0.2296 0.3078 0.1436 S
0.2296 0.6922 0.1436 S
0.2620 0.5000 0.6404 S
0.2855 0.0000 0.6267 S
0.7145 0.0000 0.3733 S
0.7380 0.5000 0.3596 S
0.7704 0.3078 0.8564 S
0.7704 0.6922 0.8564 S
```

Output
* raw total energy: -5.835 eV per atom
* formation energy from raw total energies: -0.957 eV/atom